[1]
The following is a DFT calculation (PBE) of a relaxed structure of AcDyNi2.

Results
E above lowest polymorph: 52 meV/atom
formation enthalpy at 0 K: -0.1908 eV/atom
D(E_F): 1.018 states/eV/atom
crystal system: cubic

Cell lengths 5.0030, 5.0030, 5.0030 Å; angles 60.00, 60.00, 60.00 degrees
Fractional positions:
Dy: 0.0000 0.0000 0.0000
Ni: 0.2500 0.2500 0.2500
Ni: 0.7500 0.7500 0.7500
Ac: 0.5000 0.5000 0.5000

=====

[2]
The following is a DFT calculation (PBE) of a relaxed structure of AcDy2Ni6.

Results
formation enthalpy at 0 K: -0.3268 eV/atom
D(E_F): 1.155 states/eV/atom
crystal system: hexagonal

Cell lengths 3.9360, 6.9792, 6.9792 Å; angles 120.00, 90.00, 90.00 degrees
Last column: magnetic moment on the atom in μB.
Fractional positions:
Dy: 0.0000 0.3333 0.6667  -0.01
Dy: 0.0000 0.6667 0.3333  -0.01
Ni: 0.5000 0.3376 0.0000  0.08
Ni: 0.5000 0.3376 0.3376  0.08
Ni: 0.5000 0.6624 0.0000  0.08
Ni: 0.5000 0.6624 0.6624  0.08
Ni: 0.5000 0.0000 0.3376  0.08
Ni: 0.5000 0.0000 0.6624  0.08
Ac: 0.0000 0.0000 0.0000  -0.01